No. 1
Material: As2Pt2O7
Method: DFT, PBE
State: relaxed

Geometry as POSCAR:
```
As2Pt2O7
1.0
6.1660 0.2526 0.3646
-0.3616 5.2071 0.0264
-0.3616 -1.8038 4.8847
O Pt As
7 2 2
Cartesian
3.6535 2.3510 3.3927
1.3829 1.5264 4.7746
1.7894 1.3049 1.8830
4.0600 -0.2786 2.1698
1.3829 3.9345 3.1059
4.0600 2.1294 0.5011
0.0000 0.0000 0.0000
2.7214 0.5894 3.4961
2.7214 3.0665 1.7796
0.2488 2.5579 3.6912
5.1941 1.0980 1.5845
```

## Properties
The formation energy from raw total energies comes out at -6.9 eV/f.u. The value obtained for the volume is 14.41 Å³/atom.


No. 2
Material: RbAs2PtO8
Method: DFT, PBE
State: relaxed

Geometry as POSCAR:
```
RbAs2PtO8
1.0
-0.1393 -4.5838 -1.9957
2.3411 0.7619 4.3534
-7.7953 -1.7192 4.4929
O Pt As Rb
8 1 2 1
Cartesian
-2.1952 -1.8880 2.4000
-0.3034 -3.0204 0.6918
-2.9695 -3.7606 0.3401
-3.3983 -3.6531 4.4506
-4.1414 -0.8698 4.2263
-1.4521 -4.6713 2.6243
-5.2901 -2.5207 6.1588
-2.6240 -1.7805 6.5105
-3.8976 -0.8596 2.2465
-3.8667 -2.2067 5.3384
-1.7268 -3.3344 1.5122
0.0000 0.0000 0.0000
```

## Properties
The formation energy from raw total energies comes out at -12.2 eV/f.u. As for the density of states at the Fermi level: 6.93 states/eV/f.u. The value obtained for the volume is 16.54 Å³/atom.


No. 3
Material: ReAs2PtO
Method: DFT, PBE
State: relaxed

Geometry as POSCAR:
```
ReAs2PtO
1.0
4.7176 0.0000 0.0000
0.0000 4.9288 0.0000
0.0000 0.0000 4.7176
As O Pt Re
2 1 1 1
Cartesian
2.3588 0.0000 0.0000
0.0000 0.0000 2.3588
2.3588 2.4644 2.3588
0.0000 2.4644 0.0000
0.0000 0.0000 0.0000
```

## Properties
The formation energy from raw total energies comes out at 5.9 eV/f.u. As for the density of states at the Fermi level: 6.37 states/eV/f.u. The value obtained for the volume is 21.94 Å³/atom.


No. 4
Material: AsPtS2O
Method: DFT, PBE
State: relaxed

Geometry as POSCAR:
```
AsPtS2O
1.0
-2.2754 0.2226 -4.1775
-2.2745 -2.5087 1.1052
-2.8731 3.3735 1.7446
O S Pt As
1 2 1 1
Cartesian
-1.1373 -1.2544 0.5526
-1.4365 1.6867 0.8723
-1.1377 0.1113 -2.0888
-3.7115 0.5437 -0.6638
0.0000 0.0000 0.0000
```

## Properties
The formation energy from raw total energies comes out at 1.9 eV/f.u. As for the density of states at the Fermi level: 3.38 states/eV/f.u. The value obtained for the volume is 16.16 Å³/atom.


No. 5
Material: AsPtSe2O
Method: DFT, PBE
State: relaxed

Geometry as POSCAR:
```
AsPtSe2O
1.0
-3.0877 -0.3536 -4.0692
-3.9307 -1.1295 3.0807
-1.0280 4.6120 0.3792
Se As O Pt
2 1 1 1
Cartesian
-1.9654 -0.5648 1.5404
-1.5438 -0.1768 -2.0346
-0.5140 2.3060 0.1896
-4.0232 1.5644 -0.3046
0.0000 0.0000 0.0000
```

## Properties
As for the energy above the most stable polymorph in this dataset: 375 meV per atom. The formation energy from raw total energies comes out at 4.9 eV/f.u. As for the density of states at the Fermi level: 4.99 states/eV/f.u. The value obtained for the volume is 24.86 Å³/atom.


No. 6
Material: AsPtSe2O
Method: DFT, PBE
State: relaxed

Geometry as POSCAR:
```
AsPtSe2O
1.0
4.4402 0.0000 0.0000
0.0000 4.3418 0.0000
0.0000 0.0000 4.4402
Se Pt As O
2 1 1 1
Cartesian
0.0000 0.0000 2.2201
2.2201 0.0000 0.0000
2.2201 2.1709 2.2201
0.0000 2.1709 0.0000
0.0000 0.0000 0.0000
```

## Properties
As for the energy above the most stable polymorph in this dataset: 0 meV per atom. The formation energy from raw total energies comes out at 3.0 eV/f.u. As for the density of states at the Fermi level: 4.68 states/eV/f.u. The value obtained for the volume is 17.12 Å³/atom.


No. 7
Material: SrAs2PtO8
Method: DFT, PBE
State: relaxed

Geometry as POSCAR:
```
SrAs2PtO8
1.0
5.4665 0.0000 0.0000
-2.7332 4.7341 0.0000
0.0000 0.0000 7.2603
O Sr As Pt
8 1 2 1
Cartesian
0.0000 1.4700 5.8694
2.7332 3.2641 1.3908
2.7332 1.5780 3.4738
4.1934 0.7350 1.3908
1.4602 3.9991 5.8694
0.0000 3.1561 3.7865
-1.4602 3.9991 5.8694
1.2731 0.7350 1.3908
0.0000 0.0000 3.6301
0.0000 3.1561 5.4655
2.7332 1.5780 1.7948
0.0000 0.0000 0.0000
```

## Properties
The formation energy from raw total energies comes out at -15.2 eV/f.u. The value obtained for the volume is 15.66 Å³/atom.


No. 8
Material: SrAs2PtO
Method: DFT, PBE
State: relaxed

Geometry as POSCAR:
```
SrAs2PtO
1.0
-0.3046 -5.6162 0.9861
-0.1600 -0.9101 -5.2328
5.6995 -0.3296 -0.1169
Pt As O Sr
1 2 1 1
Cartesian
-0.0800 -0.4551 -2.6164
2.8498 -0.1648 -0.0585
-0.1523 -2.8081 0.4931
2.6175 -3.4280 -2.1818
0.0000 0.0000 0.0000
```

## Properties
The formation energy from raw total energies comes out at 9.2 eV/f.u. As for the density of states at the Fermi level: 4.45 states/eV/f.u. The value obtained for the volume is 34.65 Å³/atom.


No. 9
Material: TiAs2PtO
Method: DFT, PBE
State: relaxed

Geometry as POSCAR:
```
TiAs2PtO
1.0
-2.0382 -2.6310 -3.7981
2.9342 0.5837 -1.9789
2.0696 -4.2314 1.8206
O As Pt Ti
1 2 1 1
Cartesian
1.4671 0.2919 -0.9895
1.0348 -2.1157 0.9103
-1.0191 -1.3155 -1.8991
1.4828 -3.1394 -1.9782
0.0000 0.0000 0.0000
```

## Properties
The formation energy from raw total energies comes out at -2.1 eV/f.u. As for the density of states at the Fermi level: 3.15 states/eV/f.u. The value obtained for the volume is 18.30 Å³/atom.


No. 10
Material: Tl2As2PtO6
Method: DFT, PBE
State: relaxed

Geometry as POSCAR:
```
Tl2As2PtO6
1.0
-2.2760 4.7597 1.8172
3.0612 -3.6421 4.8064
4.6303 3.1815 -2.5340
O As Pt Tl
6 2 1 2
Cartesian
3.2849 3.6626 3.0883
2.3310 0.9068 4.8493
1.9408 5.7840 0.1533
2.1306 0.6365 1.0013
3.0845 3.3923 -0.7598
3.4747 -1.4848 3.9362
4.3655 3.6788 4.3992
1.0500 0.6203 -0.3097
1.1771 3.9706 -0.3584
4.5398 1.7050 1.2200
0.8757 2.5941 2.8695
```

## Properties
The formation energy from raw total energies comes out at -9.7 eV/f.u. The value obtained for the volume is 18.64 Å³/atom.


No. 11
Material: TlAs2PtO
Method: DFT, PBE
State: relaxed

Geometry as POSCAR:
```
TlAs2PtO
1.0
-2.3063 2.2728 3.0575
-2.9521 -3.5344 0.4005
2.5347 -1.7528 3.2150
Pt Tl As O
1 1 2 1
Cartesian
-1.4760 -1.7672 0.2003
-1.3619 -1.5072 3.3365
1.2674 -0.8764 1.6075
-1.1532 1.1364 1.5287
0.0000 0.0000 0.0000
```

## Properties
The formation energy from raw total energies comes out at 1.8 eV/f.u. As for the density of states at the Fermi level: 2.45 states/eV/f.u. The value obtained for the volume is 18.34 Å³/atom.


No. 12
Material: TlAsPtO5
Method: DFT, PBE
State: relaxed

Geometry as POSCAR:
```
TlAsPtO5
1.0
-4.4772 2.9003 1.8150
-1.2518 -5.4807 -0.3826
4.9843 0.1270 6.8308
O Tl As Pt
10 2 2 2
Cartesian
-0.2980 -4.6895 1.5242
-3.8432 0.8406 2.9298
0.6021 -4.1710 5.0144
-1.8626 -0.3757 1.2411
-1.3468 1.7177 3.2488
-1.7959 -1.0457 3.8939
1.1179 -2.0776 7.0221
-0.4467 2.2362 6.7390
1.0512 -1.4077 4.3692
3.0985 -3.2940 5.3334
0.0000 0.0000 0.0000
2.4922 0.0635 3.4154
1.4452 -2.6800 5.4499
-2.1899 0.2266 2.8133
0.2258 0.4886 6.2807
-0.9705 -2.9419 1.9824
```

## Properties
The formation energy from raw total energies comes out at -5.1 eV/f.u. As for the density of states at the Fermi level: 4.46 states/eV/f.u. The value obtained for the volume is 14.75 Å³/atom.